Record 1
An optimized crystal structure of HoSbPb2O6. Source: Alexandria via LeMat-Bulk, functional GGA-PBE.

V: 293 Å³/cell
SG: P2_1/c (14)
raw formation energy: -1.8890 eV per atom
theoretical density: 9.048 g cm⁻³

```
HoSbPb2O6
1.0
5.9128 0.0000 0.0000
0.0000 5.9160 0.0000
-5.8989 0.0000 8.3641
Ho Sb Pb O
2 2 4 12
direct
0.0000 0.0000 0.0000 Ho
0.0000 0.5000 0.5000 Ho
0.5000 0.0000 0.5000 Sb
0.5000 0.5000 0.0000 Sb
0.2587 0.0226 0.7533 Pb
0.2587 0.4774 0.2533 Pb
0.7413 0.5226 0.7467 Pb
0.7413 0.9774 0.2467 Pb
0.1933 0.0117 0.2640 O
0.1933 0.4883 0.7640 O
0.2697 0.7040 0.0383 O
0.2697 0.7960 0.5383 O
0.3374 0.2261 0.0353 O
0.3374 0.2739 0.5353 O
0.6626 0.7261 0.4647 O
0.6626 0.7739 0.9647 O
0.7303 0.2040 0.4617 O
0.7303 0.2960 0.9617 O
0.8067 0.5117 0.2360 O
0.8067 0.9883 0.7360 O
```



Record 2
An optimized crystal structure of VZnIN2. Source: Alexandria via LeMat-Bulk, functional GGA-PBE.

V: 85 Å³/cell
SG: P4/mmm (123)
raw formation energy: 0.4883 eV per atom
theoretical density: 5.329 g cm⁻³
offset from the most stable computed form: 0.00 kcal/mol of atoms

```
VZnIN2
1.0
3.8332 0.0000 0.0000
0.0000 3.8332 0.0000
0.0000 0.0000 5.7523
V Zn I N
1 1 1 2
direct
0.0000 0.0000 0.0000 V
0.5000 0.5000 0.5000 Zn
0.0000 0.0000 0.5000 I
0.0000 0.5000 0.0000 N
0.5000 0.0000 0.0000 N
```



Record 3
An optimized crystal structure of YVSi3. Source: Alexandria via LeMat-Bulk, functional GGA-PBE.

V: 138 Å³/cell
SG: Pm-3m (221)
raw formation energy: 1.4465 eV per atom
theoretical density: 2.706 g cm⁻³

```
YVSi3
1.0
5.1616 0.0000 0.0000
0.0000 5.1616 0.0000
0.0000 0.0000 5.1616
Y V Si
1 1 3
direct
0.0000 0.0000 0.0000 Y
0.5000 0.5000 0.5000 V
0.0000 0.0000 0.5000 Si
0.0000 0.5000 0.0000 Si
0.5000 0.0000 0.0000 Si
```



Record 4
An optimized crystal structure of CsKCl. Source: Alexandria via LeMat-Bulk, functional GGA-PBE.

V: 149 Å³/cell
SG: I4mm (107)
raw formation energy: -1.1824 eV per atom
theoretical density: 2.316 g cm⁻³
offset from the most stable computed form: 2.10 kcal/mol of atoms

```
CsKCl
1.0
-2.1157 2.1157 8.3058
2.1157 -2.1157 8.3058
2.1157 2.1157 -8.3058
Cs K Cl
1 1 1
direct
0.0000 0.0000 0.0000 Cs
0.2364 0.2364 0.0000 K
0.6214 0.6214 0.0000 Cl
```



Record 5
An optimized crystal structure of Co2TcPbS. Source: Alexandria via LeMat-Bulk, functional GGA-PBE.

V: 80 Å³/cell
SG: P4/mmm (123)
raw formation energy: 0.3632 eV per atom
theoretical density: 9.491 g cm⁻³

```
Co2TcPbS
1.0
4.1919 0.0000 0.0000
0.0000 4.1919 0.0000
0.0000 0.0000 4.5315
Co Tc Pb S
2 1 1 1
direct
0.0000 0.5000 0.0000 Co
0.5000 0.0000 0.0000 Co
0.0000 0.0000 0.5000 Tc
0.5000 0.5000 0.5000 Pb
0.0000 0.0000 0.0000 S
```



Record 6
An optimized crystal structure of Nd3Ho2Er5. Source: Alexandria via LeMat-Bulk, functional GGA-PBE.

V: 657 Å³/cell
SG: C2/c (15)
theoretical density: 8.086 g cm⁻³
uncorrected energy: -4.43 eV per atom

```
Nd3Ho2Er5
1.0
5.3224 -7.9804 0.0000
5.3224 7.9804 0.0000
-5.3048 0.0000 7.7300
Nd Ho Er
6 4 10
direct
0.0210 0.2687 0.0455 Nd
0.2348 0.7652 0.7500 Nd
0.2687 0.0210 0.5455 Nd
0.7313 0.9790 0.4545 Nd
0.7652 0.2348 0.2500 Nd
0.9790 0.7313 0.9545 Nd
0.2322 0.4657 0.4525 Ho
0.4657 0.2322 0.9525 Ho
0.5343 0.7678 0.0475 Ho
0.7678 0.5343 0.5475 Ho
0.0269 0.9731 0.7500 Er
0.1482 0.3705 0.7673 Er
0.2721 0.7279 0.2500 Er
0.3705 0.1482 0.2673 Er
0.4707 0.5293 0.2500 Er
0.5293 0.4707 0.7500 Er
0.6295 0.8518 0.7327 Er
0.7279 0.2721 0.7500 Er
0.8518 0.6295 0.2327 Er
0.9731 0.0269 0.2500 Er
```



Record 7
An optimized crystal structure of Pu2TlSn. Source: Alexandria via LeMat-Bulk, functional GGA-PBE.

V: 111 Å³/cell
SG: R3m (160)
theoretical density: 12.180 g cm⁻³
offset from the most stable computed form: 3.54 kcal/mol of atoms

```
Pu2TlSn
1.0
1.7202 0.9932 10.7875
-1.7202 0.9932 10.7875
0.0000 -1.9863 10.7875
Pu Tl Sn
2 1 1
direct
0.0000 0.0000 0.0000 Pu
0.1714 0.1714 0.1714 Pu
0.7524 0.7524 0.7524 Tl
0.5858 0.5858 0.5858 Sn
```



Record 8
An optimized crystal structure of Rb2GaBr. Source: Alexandria via LeMat-Bulk, functional GGA-PBE.

V: 387 Å³/cell
SG: I-42d (122)
raw formation energy: -0.4671 eV per atom
theoretical density: 2.749 g cm⁻³
offset from the most stable computed form: 0.00 kcal/mol of atoms

```
Rb2GaBr
1.0
-4.7847 4.7847 4.2286
4.7847 -4.7847 4.2286
4.7847 4.7847 -4.2286
Rb Ga Br
4 2 2
direct
0.0899 0.1250 0.4649 Rb
0.3750 0.9101 0.0351 Rb
0.6601 0.6250 0.5351 Rb
0.8750 0.3399 0.9649 Rb
0.2500 0.7500 0.5000 Ga
0.5000 0.5000 0.0000 Ga
0.0000 0.0000 0.0000 Br
0.7500 0.2500 0.5000 Br
```



Record 9
An optimized crystal structure of Ce2Zn12Ni5. Source: Alexandria via LeMat-Bulk, functional GGA-PBE.

V: 290 Å³/cell
SG: R-3m (166)
theoretical density: 7.783 g cm⁻³
uncorrected energy: -3.21 eV per atom

```
Ce2Zn12Ni5
1.0
4.4631 2.5768 4.2009
-4.4631 2.5768 4.2009
0.0000 -5.1535 4.2009
Ce Zn Ni
2 12 5
direct
0.1695 0.1695 0.1695 Ce
0.8305 0.8305 0.8305 Ce
0.1543 0.1543 0.6436 Zn
0.1543 0.6436 0.1543 Zn
0.2166 0.5000 0.7834 Zn
0.2166 0.7834 0.5000 Zn
0.3564 0.8457 0.8457 Zn
0.5000 0.2166 0.7834 Zn
0.5000 0.7834 0.2166 Zn
0.6436 0.1543 0.1543 Zn
0.7834 0.2166 0.5000 Zn
0.7834 0.5000 0.2166 Zn
0.8457 0.3564 0.8457 Zn
0.8457 0.8457 0.3564 Zn
0.0000 0.5000 0.5000 Ni
0.3869 0.3869 0.3869 Ni
0.5000 0.0000 0.5000 Ni
0.5000 0.5000 0.0000 Ni
0.6131 0.6131 0.6131 Ni
```



Record 10
An optimized crystal structure of YCdSbO2. Source: Alexandria via LeMat-Bulk, functional GGA-PBE.

V: 99 Å³/cell
SG: P4/mmm (123)
raw formation energy: -0.5045 eV per atom
theoretical density: 5.940 g cm⁻³

```
YCdSbO2
1.0
4.2823 0.0000 0.0000
0.0000 4.2823 0.0000
0.0000 0.0000 5.4129
Y Cd Sb O
1 1 1 2
direct
0.0000 0.0000 0.0000 Y
0.5000 0.5000 0.0000 Cd
0.5000 0.5000 0.5000 Sb
0.0000 0.5000 0.5000 O
0.5000 0.0000 0.5000 O
```



Record 11
An optimized crystal structure of Tb5DyRh4. Source: Alexandria via LeMat-Bulk, functional GGA-PBE.

V: 257 Å³/cell
SG: Immm (71)
theoretical density: 8.857 g cm⁻³
uncorrected energy: -6.36 eV per atom

```
Tb5DyRh4
1.0
-2.1144 3.6679 8.2717
2.1144 -3.6679 8.2717
2.1144 3.6679 -8.2717
Tb Dy Rh
5 1 4
direct
0.0000 0.0000 0.0000 Tb
0.0910 0.3354 0.7556 Tb
0.4203 0.6646 0.7556 Tb
0.5797 0.3354 0.2444 Tb
0.9090 0.6646 0.2444 Tb
0.5000 0.0000 0.5000 Dy
0.2443 0.5000 0.7443 Rh
0.3010 0.8010 0.5000 Rh
0.6990 0.1990 0.5000 Rh
0.7557 0.5000 0.2557 Rh
```



Record 12
An optimized crystal structure of K3In8Hg3. Source: Alexandria via LeMat-Bulk, functional GGA-PBE.

V: 421 Å³/cell
SG: Immm (71)
theoretical density: 6.459 g cm⁻³
uncorrected energy: -1.97 eV per atom

```
K3In8Hg3
1.0
-2.5730 5.5714 7.3420
2.5730 -5.5714 7.3420
2.5730 5.5714 -7.3420
K In Hg
3 8 3
direct
0.0000 0.0000 0.0000 K
0.3095 0.3095 0.0000 K
0.6905 0.6905 0.0000 K
0.0305 0.6678 0.3627 In
0.1463 0.8668 0.2795 In
0.3051 0.6678 0.6373 In
0.4128 0.1332 0.2795 In
0.5872 0.8668 0.7205 In
0.6949 0.3322 0.3627 In
0.8537 0.1332 0.7205 In
0.9695 0.3322 0.6373 In
0.2999 0.5000 0.7999 Hg
0.5000 0.0000 0.5000 Hg
0.7001 0.5000 0.2001 Hg
```



Record 13
An optimized crystal structure of ThB6Ru12. Source: Alexandria via LeMat-Bulk, functional GGA-PBE.

V: 241 Å³/cell
SG: R-3m (166)
theoretical density: 10.399 g cm⁻³
uncorrected energy: -8.62 eV per atom

```
ThB6Ru12
1.0
5.0610 2.9220 2.7171
-5.0610 2.9220 2.7171
0.0000 -5.8439 2.7171
Th B Ru
1 6 12
direct
0.0000 0.0000 0.0000 Th
0.2355 0.2355 0.6866 B
0.2355 0.6866 0.2355 B
0.3134 0.7645 0.7645 B
0.6866 0.2355 0.2355 B
0.7645 0.3134 0.7645 B
0.7645 0.7645 0.3134 B
0.1324 0.5000 0.8676 Ru
0.1324 0.8676 0.5000 Ru
0.1839 0.4523 0.4523 Ru
0.4523 0.1839 0.4523 Ru
0.4523 0.4523 0.1839 Ru
0.5000 0.1324 0.8676 Ru
0.5000 0.8676 0.1324 Ru
0.5477 0.5477 0.8161 Ru
0.5477 0.8161 0.5477 Ru
0.8161 0.5477 0.5477 Ru
0.8676 0.1324 0.5000 Ru
0.8676 0.5000 0.1324 Ru
```



Record 14
An optimized crystal structure of Ca3MgAu3. Source: Alexandria via LeMat-Bulk, functional GGA-PBE.

V: 366 Å³/cell
SG: C2/m (12)
theoretical density: 6.680 g cm⁻³
offset from the most stable computed form: 2.30 kcal/mol of atoms

```
Ca3MgAu3
1.0
3.9133 -6.0385 0.0000
3.9133 6.0385 0.0000
-1.1163 0.0000 7.7362
Ca Mg Au
6 2 6
direct
0.1828 0.8172 0.0000 Ca
0.2309 0.7691 0.5000 Ca
0.3587 0.3587 0.1381 Ca
0.6413 0.6413 0.8619 Ca
0.7691 0.2309 0.5000 Ca
0.8172 0.1828 0.0000 Ca
0.2916 0.2916 0.5291 Mg
0.7084 0.7084 0.4709 Mg
0.0120 0.0120 0.2819 Au
0.1578 0.4522 0.7867 Au
0.4522 0.1578 0.7867 Au
0.5478 0.8422 0.2133 Au
0.8422 0.5478 0.2133 Au
0.9880 0.9880 0.7181 Au
```



Record 15
An optimized crystal structure of Fe2CoPdC. Source: Alexandria via LeMat-Bulk, functional GGA-PBE.

V: 57 Å³/cell
SG: P4/mmm (123)
theoretical density: 8.402 g cm⁻³
uncorrected energy: -7.60 eV per atom

```
Fe2CoPdC
1.0
3.8919 0.0000 0.0000
0.0000 3.8919 0.0000
0.0000 0.0000 3.7714
Fe Co Pd C
2 1 1 1
direct
0.0000 0.5000 0.0000 Fe
0.5000 0.0000 0.0000 Fe
0.0000 0.0000 0.5000 Co
0.5000 0.5000 0.5000 Pd
0.0000 0.0000 0.0000 C
```



Record 16
An optimized crystal structure of SrZrIN2. Source: Alexandria via LeMat-Bulk, functional GGA-PBE.

V: 115 Å³/cell
SG: P4/mmm (123)
raw formation energy: 1.6804 eV per atom
theoretical density: 4.838 g cm⁻³
offset from the most stable computed form: 46.21 kcal/mol of atoms

```
SrZrIN2
1.0
4.6634 0.0000 0.0000
0.0000 4.6634 0.0000
0.0000 0.0000 5.2675
Sr Zr I N
1 1 1 2
direct
0.0000 0.0000 0.0000 Sr
0.5000 0.5000 0.0000 Zr
0.5000 0.5000 0.5000 I
0.0000 0.5000 0.5000 N
0.5000 0.0000 0.5000 N
```



Record 17
An optimized crystal structure of AcCeGa2Ge2. Source: Alexandria via LeMat-Bulk, functional GGA-PBE.

V: 146 Å³/cell
SG: P-3m1 (164)
theoretical density: 7.409 g cm⁻³
uncorrected energy: -4.87 eV per atom

```
AcCeGa2Ge2
1.0
4.2708 0.0000 0.0000
-2.1354 3.6986 0.0000
0.0000 0.0000 9.2490
Ac Ce Ga Ge
1 1 2 2
direct
0.0000 0.0000 0.0000 Ac
0.0000 0.0000 0.5000 Ce
0.3333 0.6667 0.7733 Ga
0.6667 0.3333 0.2267 Ga
0.3333 0.6667 0.3011 Ge
0.6667 0.3333 0.6989 Ge
```



Record 18
An optimized crystal structure of Ta2AsRu. Source: Alexandria via LeMat-Bulk, functional GGA-PBE.

V: 65 Å³/cell
SG: P4/mmm (123)
theoretical density: 13.726 g cm⁻³
uncorrected energy: -9.49 eV per atom

```
Ta2AsRu
1.0
4.0209 0.0000 0.0000
0.0000 4.0209 0.0000
0.0000 0.0000 4.0248
Ta As Ru
2 1 1
direct
0.0000 0.5000 0.0000 Ta
0.5000 0.0000 0.0000 Ta
0.0000 0.0000 0.5000 As
0.5000 0.5000 0.5000 Ru
```



Record 19
An optimized crystal structure of TiNiTeH2. Source: Alexandria via LeMat-Bulk, functional GGA-PBE.

V: 71 Å³/cell
SG: P4/mmm (123)
theoretical density: 5.499 g cm⁻³
uncorrected energy: -4.41 eV per atom

```
TiNiTeH2
1.0
3.7522 0.0000 0.0000
0.0000 3.7522 0.0000
0.0000 0.0000 5.0655
Ti Ni Te H
1 1 1 2
direct
0.0000 0.0000 0.0000 Ti
0.5000 0.5000 0.5000 Ni
0.5000 0.5000 0.0000 Te
0.0000 0.5000 0.5000 H
0.5000 0.0000 0.5000 H
```



Record 20
An optimized crystal structure of EuHoPt2. Source: Alexandria via LeMat-Bulk, functional GGA-PBE.

V: 100 Å³/cell
SG: R-3m (166)
theoretical density: 11.758 g cm⁻³
offset from the most stable computed form: 3.06 kcal/mol of atoms

```
EuHoPt2
1.0
2.0640 1.1917 6.7663
-2.0640 1.1917 6.7663
0.0000 -2.3833 6.7663
Eu Ho Pt
1 1 2
direct
0.0000 0.0000 0.0000 Eu
0.5000 0.5000 0.5000 Ho
0.2432 0.2432 0.2432 Pt
0.7568 0.7568 0.7568 Pt
```